(1)
A plane-wave DFT calculation with GGA-PBE was carried out for a geometry-optimized La4FeCl structure.

space group	F-43m, No. 216
uncorrected formation energy	0.4918	eV/atom
total magnetic moment	1.64	μB/f.u.

CIF file:
```
data_La4FeCl
_cell_length_a 6.421
_cell_length_b 6.421
_cell_length_c 6.421
_cell_angle_alpha 60.00
_cell_angle_beta 60.00
_cell_angle_gamma 60.00
_symmetry_space_group_name_H-M 'P 1'
_symmetry_Int_Tables_number 1
loop_
_symmetry_equiv_pos_as_xyz
'x,y,z'
loop_
_atom_site_label
_atom_site_type_symbol
_atom_site_fract_x
_atom_site_fract_y
_atom_site_fract_z
La1 La 0.377 0.377 0.377
La2 La 0.377 0.377 0.868
La3 La 0.377 0.868 0.377
La4 La 0.868 0.377 0.377
Fe1 Fe 0.750 0.750 0.750
Cl1 Cl 0.000 0.000 0.000
```

(2)
A plane-wave DFT calculation with GGA-PBE was carried out for a geometry-optimized LaFe3Cl structure.

space group	Pm-3m, No. 221
uncorrected formation energy	0.5519	eV/atom
distance to the lowest polymorph of the same formula	0.0000	eV per atom
total magnetic moment	4.28	μB/f.u.

CIF file:
```
data_LaFe3Cl
_cell_length_a 4.348
_cell_length_b 4.348
_cell_length_c 4.348
_cell_angle_alpha 90.00
_cell_angle_beta 90.00
_cell_angle_gamma 90.00
_symmetry_space_group_name_H-M 'P 1'
_symmetry_Int_Tables_number 1
loop_
_symmetry_equiv_pos_as_xyz
'x,y,z'
loop_
_atom_site_label
_atom_site_type_symbol
_atom_site_fract_x
_atom_site_fract_y
_atom_site_fract_z
La1 La 0.000 0.000 0.000
Fe1 Fe 0.000 0.500 0.500
Fe2 Fe 0.500 0.000 0.500
Fe3 Fe 0.500 0.500 0.000
Cl1 Cl 0.500 0.500 0.500
```

(3)
A plane-wave DFT calculation with GGA-PBE was carried out for a geometry-optimized La3FeCl2 structure.

space group	C2/m, No. 12
uncorrected formation energy	-1.0667	eV/atom
total magnetic moment	0.00	μB/f.u.

CIF file:
```
data_La3FeCl2
_cell_length_a 7.202
_cell_length_b 7.202
_cell_length_c 7.810
_cell_angle_alpha 97.74
_cell_angle_beta 97.74
_cell_angle_gamma 121.34
_symmetry_space_group_name_H-M 'P 1'
_symmetry_Int_Tables_number 1
loop_
_symmetry_equiv_pos_as_xyz
'x,y,z'
loop_
_atom_site_label
_atom_site_type_symbol
_atom_site_fract_x
_atom_site_fract_y
_atom_site_fract_z
La1 La 0.059 0.418 0.796
La2 La 0.210 0.210 0.210
La3 La 0.418 0.059 0.796
La4 La 0.582 0.941 0.204
La5 La 0.790 0.790 0.790
La6 La 0.941 0.582 0.204
Fe1 Fe 0.166 0.834 0.000
Fe2 Fe 0.834 0.166 0.000
Cl1 Cl 0.000 0.000 0.500
Cl2 Cl 0.334 0.666 0.500
Cl3 Cl 0.500 0.500 0.000
Cl4 Cl 0.666 0.334 0.500
```

(4)
A plane-wave DFT calculation with GGA-PBE was carried out for a geometry-optimized La2FeCl structure.

space group	I-4m2, No. 119
uncorrected formation energy	-0.3033	eV/atom
distance to the lowest polymorph of the same formula	0.3998	eV per atom
total magnetic moment	1.01	μB/f.u.

CIF file:
```
data_La2FeCl
_cell_length_a 6.714
_cell_length_b 6.714
_cell_length_c 6.714
_cell_angle_alpha 144.98
_cell_angle_beta 144.98
_cell_angle_gamma 50.37
_symmetry_space_group_name_H-M 'P 1'
_symmetry_Int_Tables_number 1
loop_
_symmetry_equiv_pos_as_xyz
'x,y,z'
loop_
_atom_site_label
_atom_site_type_symbol
_atom_site_fract_x
_atom_site_fract_y
_atom_site_fract_z
La1 La 0.000 0.000 0.000
La2 La 0.750 0.250 0.500
Fe1 Fe 0.500 0.500 0.000
Cl1 Cl 0.250 0.750 0.500
```

(5)
A plane-wave DFT calculation with GGA-PBE was carried out for a geometry-optimized La2FeCl structure.

space group	I-42d, No. 122
uncorrected formation energy	-0.4585	eV/atom
distance to the lowest polymorph of the same formula	0.2446	eV per atom
total magnetic moment	0.00	μB/f.u.

CIF file:
```
data_La2FeCl
_cell_length_a 7.596
_cell_length_b 7.596
_cell_length_c 7.596
_cell_angle_alpha 129.88
_cell_angle_beta 129.88
_cell_angle_gamma 73.59
_symmetry_space_group_name_H-M 'P 1'
_symmetry_Int_Tables_number 1
loop_
_symmetry_equiv_pos_as_xyz
'x,y,z'
loop_
_atom_site_label
_atom_site_type_symbol
_atom_site_fract_x
_atom_site_fract_y
_atom_site_fract_z
La1 La 0.056 0.625 0.931
La2 La 0.375 0.306 0.431
La3 La 0.694 0.125 0.069
La4 La 0.875 0.944 0.569
Fe1 Fe 0.000 0.000 0.000
Fe2 Fe 0.750 0.250 0.500
Cl1 Cl 0.250 0.750 0.500
Cl2 Cl 0.500 0.500 0.000
```

(6)
A plane-wave DFT calculation with GGA-PBE was carried out for a geometry-optimized La2FeCl structure.

space group	Cmmm, No. 65
uncorrected formation energy	-0.6450	eV/atom
distance to the lowest polymorph of the same formula	0.0582	eV per atom
total magnetic moment	0.27	μB/f.u.

CIF file:
```
data_La2FeCl
_cell_length_a 3.511
_cell_length_b 3.511
_cell_length_c 8.118
_cell_angle_alpha 90.00
_cell_angle_beta 90.00
_cell_angle_gamma 102.87
_symmetry_space_group_name_H-M 'P 1'
_symmetry_Int_Tables_number 1
loop_
_symmetry_equiv_pos_as_xyz
'x,y,z'
loop_
_atom_site_label
_atom_site_type_symbol
_atom_site_fract_x
_atom_site_fract_y
_atom_site_fract_z
La1 La 0.000 0.000 0.209
La2 La 0.000 0.000 0.791
Fe1 Fe 0.500 0.500 0.000
Cl1 Cl 0.500 0.500 0.500
```